A plane-wave DFT calculation with GGA-PBE was carried out for crystalline CaBe2Al at its relaxed geometry.

a = 2.827 Å, b = 3.627 Å, c = 6.405 Å
α = 90.00°, β = 96.30°, γ = 90.00°
Fractional coordinates of all 4 atoms:
Ca (0.000, 0.000, 0.000)
Be (0.474, 0.500, 0.673)
Be (0.526, 0.500, 0.327)
Al (0.000, 0.000, 0.500)

Summary:
Uncorrected energy = -3.01 eV/atom
Size of the total moment = 0.00 μB per formula unit
V = 16.32 A^3/atom

***

A plane-wave DFT calculation with GGA-PBE was carried out for crystalline CoW3 at its relaxed geometry.

a = 5.520 Å, b = 5.520 Å, c = 9.013 Å
α = 90.00°, β = 90.00°, γ = 120.00°
Fractional coordinates of all 16 atoms:
Co (0.000, 0.000, 0.000)
Co (0.000, 0.000, 0.500)
Co (0.333, 0.667, 0.250)
Co (0.667, 0.333, 0.750)
W (0.000, 0.500, 0.000)
W (0.000, 0.500, 0.500)
W (0.166, 0.332, 0.750)
W (0.166, 0.834, 0.750)
W (0.332, 0.166, 0.250)
W (0.500, 0.000, 0.000)
W (0.500, 0.000, 0.500)
W (0.500, 0.500, 0.000)
W (0.500, 0.500, 0.500)
W (0.668, 0.834, 0.750)
W (0.834, 0.166, 0.250)
W (0.834, 0.668, 0.250)

Summary:
Size of the total moment = 0.00 μB per formula unit
V = 14.86 A^3/atom
Energy above the most stable polymorph in this dataset = 195.8 meV/atom

***

A plane-wave DFT calculation with GGA-PBE was carried out for crystalline MgTaH at its relaxed geometry.

a = 2.932 Å, b = 4.925 Å, c = 5.770 Å
α = 90.00°, β = 97.83°, γ = 90.00°
Fractional coordinates of all 6 atoms:
Mg (0.000, 0.000, 0.000)
Mg (0.238, 0.500, 0.777)
Ta (0.508, 0.000, 0.516)
Ta (0.768, 0.500, 0.296)
H (0.281, 0.247, 0.271)
H (0.281, 0.753, 0.271)

Summary:
Size of the total moment = 0.00 μB per formula unit
V = 13.76 A^3/atom
Energy above the most stable polymorph in this dataset = 91.2 meV/atom

***

A plane-wave DFT calculation with GGA-PBE was carried out for crystalline Tb2In9Pb at its relaxed geometry.

a = 4.679 Å, b = 4.679 Å, c = 14.362 Å
α = 90.00°, β = 90.00°, γ = 90.00°
Fractional coordinates of all 12 atoms:
Tb (0.000, 0.000, 0.161)
Tb (0.000, 0.000, 0.839)
In (0.000, 0.500, 0.000)
In (0.000, 0.500, 0.327)
In (0.000, 0.500, 0.673)
In (0.500, 0.000, 0.000)
In (0.500, 0.000, 0.327)
In (0.500, 0.000, 0.673)
In (0.500, 0.500, 0.162)
In (0.500, 0.500, 0.500)
In (0.500, 0.500, 0.838)
Pb (0.000, 0.000, 0.500)

Summary:
Uncorrected energy = -3.37 eV/atom
Size of the total moment = 0.00 μB per formula unit
V = 26.21 A^3/atom

***

A plane-wave DFT calculation with GGA-PBE was carried out for crystalline AlTlMo at its relaxed geometry.

a = 7.123 Å, b = 7.123 Å, c = 7.123 Å
α = 156.39°, β = 156.39°, γ = 33.64°
Fractional coordinates of all 3 atoms:
Al (0.000, 0.000, 0.000)
Tl (0.307, 0.307, 0.000)
Mo (0.632, 0.632, 0.000)

Summary:
Size of the total moment = 0.00 μB per formula unit
V = 19.31 A^3/atom
Energy above the most stable polymorph in this dataset = 53.9 meV/atom

***

A plane-wave DFT calculation with GGA-PBE was carried out for crystalline CdSnPd2 at its relaxed geometry.

a = 4.649 Å, b = 4.649 Å, c = 3.317 Å
α = 90.00°, β = 90.00°, γ = 90.00°
Fractional coordinates of all 4 atoms:
Cd (0.000, 0.000, 0.000)
Sn (0.500, 0.500, 0.000)
Pd (0.000, 0.500, 0.500)
Pd (0.500, 0.000, 0.500)

Summary:
Uncorrected energy = -4.26 eV/atom
Size of the total moment = 0.00 μB per formula unit
V = 17.92 A^3/atom

***

A plane-wave DFT calculation with GGA-PBE was carried out for crystalline In2HIr at its relaxed geometry.

a = 4.522 Å, b = 3.596 Å, c = 7.842 Å
α = 90.00°, β = 91.59°, γ = 90.00°
Fractional coordinates of all 8 atoms:
In (0.240, 0.250, 0.397)
In (0.252, 0.750, 0.044)
In (0.748, 0.250, 0.956)
In (0.760, 0.750, 0.603)
H (0.276, 0.750, 0.722)
H (0.724, 0.250, 0.278)
Ir (0.237, 0.250, 0.750)
Ir (0.763, 0.750, 0.250)

Summary:
Size of the total moment = 0.00 μB per formula unit
V = 15.93 A^3/atom
Energy above the most stable polymorph in this dataset = 0.0 meV/atom

***

A plane-wave DFT calculation with GGA-PBE was carried out for crystalline Na4Hf3AuS8 at its relaxed geometry.

a = 7.956 Å, b = 7.956 Å, c = 7.956 Å
α = 56.65°, β = 56.65°, γ = 56.65°
Fractional coordinates of all 16 atoms:
Na (0.000, 0.000, 0.000)
Na (0.000, 0.500, 0.500)
Na (0.500, 0.000, 0.500)
Na (0.500, 0.500, 0.000)
Hf (0.000, 0.000, 0.500)
Hf (0.000, 0.500, 0.000)
Hf (0.500, 0.000, 0.000)
Au (0.500, 0.500, 0.500)
S (0.221, 0.749, 0.749)
S (0.239, 0.239, 0.239)
S (0.251, 0.251, 0.779)
S (0.251, 0.779, 0.251)
S (0.749, 0.221, 0.749)
S (0.749, 0.749, 0.221)
S (0.761, 0.761, 0.761)
S (0.779, 0.251, 0.251)

Summary:
Formation energy from raw total energies = -120 kJ/mol of atoms
Size of the total moment = 0.00 μB per formula unit
V = 20.54 A^3/atom

***

A plane-wave DFT calculation with GGA-PBE was carried out for crystalline KMgAs2Se at its relaxed geometry.

a = 5.435 Å, b = 5.435 Å, c = 5.541 Å
α = 90.00°, β = 90.00°, γ = 90.00°
Fractional coordinates of all 5 atoms:
K (0.000, 0.000, 0.000)
Mg (0.500, 0.500, 0.500)
As (0.000, 0.500, 0.000)
As (0.500, 0.000, 0.000)
Se (0.000, 0.000, 0.500)

Summary:
Formation energy from raw total energies = 108 kJ/mol of atoms
Size of the total moment = 0.00 μB per formula unit
V = 32.74 A^3/atom
Energy above the most stable polymorph in this dataset = 1123.5 meV/atom

***

A plane-wave DFT calculation with GGA-PBE was carried out for crystalline Ti4OsRh2 at its relaxed geometry.

a = 5.315 Å, b = 5.315 Å, c = 5.315 Å
α = 110.23°, β = 110.23°, γ = 107.97°
Fractional coordinates of all 7 atoms:
Ti (0.000, 0.000, 0.500)
Ti (0.000, 0.500, 0.000)
Ti (0.500, 0.000, 0.000)
Ti (0.500, 0.500, 0.500)
Os (0.000, 0.000, 0.000)
Rh (0.000, 0.500, 0.500)
Rh (0.500, 0.000, 0.500)

Summary:
Uncorrected energy = -8.72 eV/atom
Size of the total moment = 0.00 μB per formula unit
V = 16.50 A^3/atom

***

Q: Which of these has the highest V?
A: KMgAs2Se